Entry 1:
! TaInPb | Alexandria via LeMat-Bulk | GGA-PBE | optimized geometry; values from VASP
&SYSTEM
  ibrav = 0, nat = 12, ntyp = 3
/
ATOMIC_SPECIES
Ta 180.95 Ta.upf
In 114.82 In.upf
Pb 207.20 Pb.upf
ATOMIC_POSITIONS crystal
Ta 0.000 0.000 0.000
Ta 0.000 0.500 0.500
Ta 0.500 0.000 0.500
Ta 0.500 0.500 0.000
In 0.250 0.250 0.750
In 0.250 0.750 0.250
In 0.750 0.250 0.250
In 0.750 0.750 0.750
Pb 0.250 0.250 0.250
Pb 0.250 0.750 0.750
Pb 0.750 0.250 0.750
Pb 0.750 0.750 0.250
CELL_PARAMETERS angstrom
6.857 0.000 0.000
0.000 6.857 0.000
0.000 0.000 6.857
! total energy: -5.259 eV/atom
! calculated volume: 26.86 Å³/atom
! size of the total moment: 0.0006 μB per atom
! D(E_F): 3.6 states/eV/f.u.
! symmetry: No. 216
! formation enthalpy at 0 K: 0.841 eV/atom

Entry 2:
! TaInPb | Alexandria via LeMat-Bulk | GGA-PBE | optimized geometry; values from VASP
&SYSTEM
  ibrav = 0, nat = 3, ntyp = 3
/
ATOMIC_SPECIES
Ta 180.95 Ta.upf
In 114.82 In.upf
Pb 207.20 Pb.upf
ATOMIC_POSITIONS crystal
Ta 0.000 0.000 0.000
In 0.667 0.333 0.304
Pb 0.333 0.667 0.677
CELL_PARAMETERS angstrom
3.231 0.000 0.000
-1.616 2.798 0.000
0.000 0.000 7.681
! total energy: -5.703 eV/atom
! calculated volume: 23.15 Å³/atom
! size of the total moment: 0.0000 μB per atom
! D(E_F): 0.7 states/eV/f.u.
! symmetry: No. 156
! formation enthalpy at 0 K: 0.397 eV/atom

Entry 3:
! Ta2InPb | Alexandria via LeMat-Bulk | GGA-PBE | optimized geometry; values from VASP
&SYSTEM
  ibrav = 0, nat = 8, ntyp = 3
/
ATOMIC_SPECIES
Ta 180.95 Ta.upf
In 114.82 In.upf
Pb 207.20 Pb.upf
ATOMIC_POSITIONS crystal
Ta 0.000 0.000 0.000
Ta 0.238 0.500 0.245
Ta 0.500 0.500 0.000
Ta 0.738 0.000 0.245
In 0.486 0.000 0.480
In 0.986 0.500 0.480
Pb 0.249 0.000 0.755
Pb 0.749 0.500 0.755
CELL_PARAMETERS angstrom
10.601 0.000 0.000
0.000 3.023 0.000
-0.706 0.000 5.228
! total energy: -7.067 eV/atom
! calculated volume: 20.94 Å³/atom
! size of the total moment: 0.0000 μB per atom
! D(E_F): 2.7 states/eV/f.u.
! symmetry: No. 8
! formation enthalpy at 0 K: 0.471 eV/atom